CaCr2O4: relaxed, PBE+U.

POSCAR file:
```
CaCr2O4
1.0
-3.114 3.156 4.298
3.114 -3.156 4.298
3.114 3.156 -4.298
Ca Cr O
2 4 8
Direct
0.000 0.000 0.000 Ca
0.500 0.000 0.500 Ca
0.000 0.500 0.500 Cr
0.500 0.000 0.000 Cr
0.500 0.500 0.000 Cr
0.500 0.500 0.500 Cr
0.264 0.292 0.528 O
0.264 0.735 0.972 O
0.277 0.736 0.541 O
0.306 0.264 0.041 O
0.694 0.736 0.959 O
0.723 0.264 0.459 O
0.736 0.265 0.028 O
0.736 0.708 0.472 O
```

## Properties
- ρ (g/cm3) = 4.1
- total magnetic moment (μB per formula unit) = 6.00
- offset from the most stable computed form (meV per atom) = 101

CaCrO2: relaxed, PBE+U.

POSCAR file:
```
CaCrO2
1.0
1.757 1.015 6.143
-1.757 1.015 6.143
0.000 -2.029 6.143
Ca Cr O
1 1 2
Direct
0.000 0.000 0.000 Ca
0.500 0.500 0.500 Cr
0.400 0.400 0.400 O
0.600 0.600 0.600 O
```

## Properties
- ρ (g/cm3) = 3.1
- total magnetic moment (μB per formula unit) = 3.61
- offset from the most stable computed form (meV per atom) = 420

CaCr2O4: relaxed, PBE+U.

POSCAR file:
```
CaCr2O4
1.0
6.833 -1.555 0.000
6.833 1.555 0.000
-5.601 0.000 7.617
Ca Cr O
2 4 8
Direct
0.152 0.152 0.169 Ca
0.848 0.848 0.831 Ca
0.137 0.137 0.825 Cr
0.361 0.361 0.529 Cr
0.639 0.639 0.471 Cr
0.863 0.863 0.175 Cr
0.042 0.042 0.307 O
0.260 0.260 0.619 O
0.338 0.338 0.003 O
0.365 0.365 0.311 O
0.635 0.635 0.689 O
0.662 0.662 0.997 O
0.740 0.740 0.381 O
0.958 0.958 0.693 O
```

## Properties
- ρ (g/cm3) = 4.3
- total magnetic moment (μB per formula unit) = 6.00
- offset from the most stable computed form (meV per atom) = 170

Ca3Cr2O7: relaxed, PBE+U.

POSCAR file:
```
Ca3Cr2O7
1.0
9.681 -2.699 0.000
9.681 2.699 0.000
0.000 0.000 5.408
Ca Cr O
6 4 14
Direct
0.053 0.574 0.426 Ca
0.244 0.756 0.500 Ca
0.426 0.947 0.426 Ca
0.574 0.053 0.926 Ca
0.756 0.244 0.000 Ca
0.947 0.426 0.926 Ca
0.152 0.650 0.960 Cr
0.350 0.848 0.960 Cr
0.650 0.152 0.460 Cr
0.848 0.350 0.460 Cr
0.002 0.391 0.479 O
0.038 0.129 0.746 O
0.129 0.038 0.246 O
0.320 0.680 0.948 O
0.343 0.435 0.675 O
0.391 0.002 0.979 O
0.435 0.343 0.175 O
0.565 0.657 0.675 O
0.609 0.998 0.479 O
0.657 0.565 0.175 O
0.680 0.320 0.448 O
0.871 0.962 0.746 O
0.962 0.871 0.246 O
0.998 0.609 0.979 O
```

## Properties
- ρ (g/cm3) = 4.0
- total magnetic moment (μB per formula unit) = 3.99
- DFT total energy (eV/atom) = -6.984

CaCr2O5: relaxed, PBE+U.

POSCAR file:
```
CaCr2O5
1.0
3.588 0.000 0.000
0.000 11.566 0.000
0.000 0.000 5.094
Ca Cr O
2 4 10
Direct
0.250 0.250 0.110 Ca
0.750 0.750 0.890 Ca
0.250 0.599 0.427 Cr
0.250 0.901 0.427 Cr
0.750 0.099 0.573 Cr
0.750 0.401 0.573 Cr
0.250 0.073 0.443 O
0.250 0.427 0.443 O
0.250 0.636 0.099 O
0.250 0.750 0.583 O
0.250 0.864 0.099 O
0.750 0.136 0.901 O
0.750 0.250 0.417 O
0.750 0.364 0.901 O
0.750 0.573 0.557 O
0.750 0.927 0.557 O
```

## Properties
- ρ (g/cm3) = 3.5
- total magnetic moment (μB per formula unit) = 4.00
- DFT total energy (eV/atom) = -7.134

Ca3Cr2O6: relaxed, PBE+U.

POSCAR file:
```
Ca3Cr2O6
1.0
-1.938 1.938 9.435
1.938 -1.938 9.435
1.938 1.938 -9.435
Ca Cr O
3 2 6
Direct
0.000 0.000 0.000 Ca
0.181 0.181 0.000 Ca
0.819 0.819 0.000 Ca
0.400 0.400 0.000 Cr
0.600 0.600 0.000 Cr
0.083 0.583 0.500 O
0.299 0.299 0.000 O
0.417 0.917 0.500 O
0.583 0.083 0.500 O
0.701 0.701 0.000 O
0.917 0.417 0.500 O
```

## Properties
- ρ (g/cm3) = 3.8
- total magnetic moment (μB per formula unit) = 6.00
- DFT total energy (eV/atom) = -7.022

Which of these has the highest ρ?
number 3

What is the total magnetic moment in the fifth record?
4.00 μB per formula unit

ρ of number 1 (CaCr2O4)?
4.1 g/cm3

total magnetic moment of number 2 (CaCrO2)?
3.61 μB per formula unit